Here is crystalline Hg4TeS6 at its relaxed geometry from the Alexandria database. Energies are from GGA-PBE.

Geometry as POSCAR:
```
Hg4TeS6
1.0
6.105 -4.521 0.000
6.105 4.521 0.000
-3.055 0.000 11.882
Hg Te S
8 2 12
direct
0.016 0.984 0.500
0.057 0.403 0.848
0.063 0.626 0.216
0.403 0.057 0.348
0.432 0.515 0.714
0.515 0.432 0.214
0.626 0.063 0.716
0.984 0.016 0.000
0.516 0.988 0.991
0.988 0.516 0.491
0.103 0.612 0.738
0.151 0.241 0.011
0.241 0.151 0.511
0.258 0.599 0.481
0.315 0.741 0.190
0.443 0.903 0.779
0.599 0.258 0.981
0.612 0.103 0.238
0.741 0.315 0.690
0.772 0.845 0.504
0.845 0.772 0.004
0.903 0.443 0.279
```

Values from the calculation:
Energy relative to the elements, uncorrected   -0.01 eV per atom
N(E_F)   0.0 states/eV/f.u.
Final energy   -2.658 eV/atom
Space group   Cc
Magnetic moment   0.00 μB per cell

***

Here is crystalline Ca2YInI at its relaxed geometry from the Alexandria database. Energies are from GGA-PBE.

Geometry as POSCAR:
```
Ca2YInI
1.0
5.694 0.000 0.000
0.000 5.694 0.000
0.000 0.000 5.677
Ca Y In I
2 1 1 1
direct
0.000 0.500 0.000
0.500 0.000 0.000
0.000 0.000 0.500
0.500 0.500 0.500
0.000 0.000 0.000
```

Values from the calculation:
Energy relative to the elements, uncorrected   -0.03 eV per atom
N(E_F)   2.2 states/eV/f.u.
Final energy   -2.986 eV/atom
Space group   P4/mmm
Magnetic moment   0.00 μB per cell

***

Here is crystalline DyLuCu4 at its relaxed geometry from the Alexandria database. Energies are from GGA-PBE.

Geometry as POSCAR:
```
DyLuCu4
1.0
0.000 3.693 3.693
3.693 0.000 3.693
3.693 3.693 0.000
Dy Lu Cu
1 1 4
direct
0.000 0.000 0.000
0.250 0.250 0.250
0.126 0.625 0.625
0.625 0.126 0.625
0.625 0.625 0.126
0.625 0.625 0.625
```

Values from the calculation:
N(E_F)   4.5 states/eV/f.u.
Final energy   -4.452 eV/atom
Space group   F-43m
Magnetic moment   0.00 μB per cell
E_form   -0.20 eV/atom

***

Here is crystalline KHoMnS3 at its relaxed geometry from the Alexandria database. Energies are from GGA-PBE.

Geometry as POSCAR:
```
KHoMnS3
1.0
8.705 0.000 0.000
0.000 4.057 0.000
-2.802 0.000 9.088
K Ho Mn S
2 2 2 6
direct
0.205 0.250 0.228
0.795 0.750 0.772
0.334 0.750 0.860
0.666 0.250 0.140
0.087 0.250 0.611
0.913 0.750 0.389
0.117 0.250 0.861
0.201 0.750 0.540
0.461 0.750 0.154
0.539 0.250 0.846
0.799 0.250 0.460
0.883 0.750 0.139
```

Values from the calculation:
Energy relative to the elements, uncorrected   -1.41 eV per atom
N(E_F)   0.1 states/eV/f.u.
Final energy   -5.947 eV/atom
Space group   P2_1/m
Magnetic moment   10.01 μB per cell

***

Here is crystalline TlFe2Ag at its relaxed geometry from the Alexandria database. Energies are from GGA-PBE.

Geometry as POSCAR:
```
TlFe2Ag
1.0
3.977 0.000 0.000
0.000 3.977 0.000
0.000 0.000 4.129
Tl Fe Ag
1 2 1
direct
0.000 0.000 0.000
0.000 0.500 0.500
0.500 0.000 0.500
0.500 0.500 0.000
```

Values from the calculation:
N(E_F)   2.7 states/eV/f.u.
Final energy   -5.036 eV/atom
Space group   P4/mmm
Excess energy over the best structure of this formula in the dataset   0.140 eV/atom
Magnetic moment   5.24 μB per cell
E_form   0.50 eV/atom

***

Here is crystalline CsNaSn2F6 at its relaxed geometry from the Alexandria database. Energies are from GGA-PBE.

Geometry as POSCAR:
```
CsNaSn2F6
1.0
6.110 -5.597 0.000
6.110 5.597 0.000
-3.782 0.000 6.828
Cs Na Sn F
2 2 4 12
direct
0.033 0.967 0.750
0.967 0.033 0.250
0.280 0.720 0.250
0.720 0.280 0.750
0.184 0.483 0.761
0.483 0.184 0.261
0.517 0.816 0.739
0.816 0.517 0.239
0.014 0.696 0.313
0.069 0.688 0.917
0.304 0.986 0.187
0.312 0.454 0.026
0.312 0.931 0.583
0.454 0.312 0.526
0.546 0.688 0.474
0.688 0.069 0.417
0.688 0.546 0.974
0.696 0.014 0.813
0.931 0.312 0.083
0.986 0.304 0.687
```

Values from the calculation:
Energy relative to the elements, uncorrected   -2.45 eV per atom
N(E_F)   0.0 states/eV/f.u.
Final energy   -4.589 eV/atom
Space group   C2/c
Magnetic moment   0.00 μB per cell

***

Here is crystalline NdSm12Ho6 at its relaxed geometry from the Alexandria database. Energies are from GGA-PBE.

Geometry as POSCAR:
```
NdSm12Ho6
1.0
6.032 3.482 5.076
-6.032 3.482 5.076
0.000 -6.965 5.076
Nd Sm Ho
1 12 6
direct
0.000 0.000 0.000
0.015 0.199 0.361
0.199 0.361 0.015
0.221 0.462 0.567
0.361 0.015 0.199
0.433 0.779 0.538
0.462 0.567 0.221
0.538 0.433 0.779
0.567 0.221 0.462
0.639 0.985 0.801
0.779 0.538 0.433
0.801 0.639 0.985
0.985 0.801 0.639
0.098 0.697 0.259
0.259 0.098 0.697
0.303 0.741 0.902
0.697 0.259 0.098
0.741 0.902 0.303
0.902 0.303 0.741
```

Values from the calculation:
N(E_F)   32.0 states/eV/f.u.
Final energy   -4.536 eV/atom
Space group   R-3
Excess energy over the best structure of this formula in the dataset   0.000 eV/atom
Magnetic moment   0.00 μB per cell
E_form   0.14 eV/atom

***

Here is crystalline K2PtPb at its relaxed geometry from the Alexandria database. Energies are from GGA-PBE.

Geometry as POSCAR:
```
K2PtPb
1.0
4.544 0.000 0.000
0.000 5.376 0.000
0.000 0.000 12.137
K Pt Pb
4 2 2
direct
0.000 0.000 0.000
0.000 0.500 0.500
0.500 0.000 0.296
0.500 0.500 0.796
0.500 0.000 0.583
0.500 0.500 0.083
0.000 0.000 0.697
0.000 0.500 0.197
```

Values from the calculation:
N(E_F)   2.2 states/eV/f.u.
Final energy   -3.123 eV/atom
Space group   Amm2
Magnetic moment   0.00 μB per cell
E_form   -0.14 eV/atom

***

Here is crystalline Pm10Sn3Ge3 at its relaxed geometry from the Alexandria database. Energies are from GGA-PBE.

Geometry as POSCAR:
```
Pm10Sn3Ge3
1.0
9.013 0.000 0.000
-4.507 7.806 0.000
0.000 0.000 6.725
Pm Sn Ge
10 3 3
direct
0.000 0.243 0.000
0.000 0.758 0.500
0.242 0.242 0.500
0.243 0.000 0.000
0.333 0.667 0.241
0.333 0.667 0.759
0.667 0.333 0.241
0.667 0.333 0.759
0.757 0.757 0.000
0.758 0.000 0.500
0.000 0.397 0.500
0.397 0.000 0.500
0.603 0.603 0.500
0.000 0.610 0.000
0.390 0.390 0.000
0.610 0.000 0.000
```

Values from the calculation:
N(E_F)   15.2 states/eV/f.u.
Final energy   -5.283 eV/atom
Space group   P-62m
Magnetic moment   0.00 μB per cell
E_form   -0.70 eV/atom

***

Here is crystalline KZn2Re at its relaxed geometry from the Alexandria database. Energies are from GGA-PBE.

Geometry as POSCAR:
```
KZn2Re
1.0
8.958 0.000 0.000
0.000 2.689 0.000
-0.504 0.000 6.962
K Zn Re
2 4 2
direct
0.000 0.000 0.000
0.500 0.500 0.000
0.238 0.000 0.661
0.262 0.500 0.339
0.738 0.500 0.661
0.762 0.000 0.339
0.000 0.500 0.500
0.500 0.000 0.500
```

Values from the calculation:
N(E_F)   3.4 states/eV/f.u.
Final energy   -3.434 eV/atom
Space group   C2/m
Excess energy over the best structure of this formula in the dataset   0.101 eV/atom
Magnetic moment   0.04 μB per cell
E_form   0.59 eV/atom

***

Here is crystalline CeErHg6 at its relaxed geometry from the Alexandria database. Energies are from GGA-PBE.

Geometry as POSCAR:
```
CeErHg6
1.0
5.035 0.000 0.000
0.000 6.744 0.000
0.000 0.000 11.674
Ce Er Hg
2 2 12
direct
0.000 0.000 0.000
0.000 0.500 0.500
0.500 0.000 0.669
0.500 0.500 0.169
0.000 0.000 0.503
0.000 0.248 0.750
0.000 0.252 0.250
0.000 0.500 0.003
0.000 0.748 0.250
0.000 0.752 0.750
0.500 0.000 0.171
0.500 0.243 0.415
0.500 0.257 0.915
0.500 0.500 0.671
0.500 0.743 0.915
0.500 0.757 0.415
```

Values from the calculation:
N(E_F)   12.2 states/eV/f.u.
Final energy   -1.852 eV/atom
Space group   Amm2
Excess energy over the best structure of this formula in the dataset   0.000 eV/atom
Magnetic moment   2.31 μB per cell
E_form   -0.31 eV/atom

***

Here is crystalline Sr2PmSnSe5 at its relaxed geometry from the Alexandria database. Energies are from GGA-PBE.

Geometry as POSCAR:
```
Sr2PmSnSe5
1.0
2.180 -9.173 0.000
2.180 9.173 0.000
0.000 0.000 13.141
Sr Pm Sn Se
4 2 2 10
direct
0.112 0.888 0.500
0.135 0.865 0.127
0.865 0.135 0.627
0.888 0.112 0.000
0.213 0.787 0.836
0.787 0.213 0.336
0.464 0.536 0.270
0.536 0.464 0.770
0.052 0.948 0.891
0.283 0.717 0.486
0.319 0.681 0.186
0.369 0.631 0.816
0.491 0.509 0.578
0.509 0.491 0.078
0.631 0.369 0.316
0.681 0.319 0.686
0.717 0.283 0.986
0.948 0.052 0.391
```

Values from the calculation:
Energy relative to the elements, uncorrected   -1.50 eV per atom
N(E_F)   2.2 states/eV/f.u.
Final energy   -4.778 eV/atom
Space group   Cmc2_1
Magnetic moment   0.00 μB per cell

***

Here is crystalline Li10GeP2O12 at its relaxed geometry from the Alexandria database. Energies are from GGA-PBE.

Geometry as POSCAR:
```
Li10GeP2O12
1.0
6.714 0.000 0.000
-0.017 7.309 0.000
-0.120 -0.146 10.621
Li Ge P O
20 2 4 24
direct
0.000 0.000 0.000
0.001 0.024 0.500
0.014 0.583 0.274
0.026 0.988 0.738
0.252 0.327 0.095
0.268 0.707 0.782
0.290 0.829 0.282
0.304 0.291 0.592
0.491 0.024 0.155
0.506 0.972 0.665
0.508 0.573 0.289
0.512 0.412 0.908
0.523 0.056 0.911
0.560 0.605 0.587
0.598 0.009 0.413
0.739 0.677 0.091
0.771 0.322 0.402
0.976 0.406 0.912
0.986 0.965 0.256
0.988 0.514 0.652
0.242 0.758 0.513
0.756 0.269 0.142
0.258 0.257 0.345
0.258 0.739 0.037
0.746 0.244 0.669
0.755 0.736 0.837
0.052 0.790 0.398
0.066 0.765 0.119
0.069 0.253 0.428
0.230 0.956 0.615
0.256 0.088 0.253
0.256 0.553 0.963
0.256 0.561 0.609
0.259 0.435 0.266
0.264 0.899 0.940
0.442 0.755 0.129
0.447 0.249 0.430
0.472 0.763 0.428
0.534 0.239 0.047
0.551 0.228 0.749
0.568 0.745 0.748
0.737 0.084 0.252
0.742 0.565 0.922
0.743 0.415 0.584
0.754 0.066 0.586
0.757 0.478 0.232
0.761 0.910 0.922
0.941 0.256 0.751
0.949 0.726 0.759
0.975 0.246 0.053
```

Values from the calculation:
Energy relative to the elements, uncorrected   -2.19 eV per atom
N(E_F)   0.0 states/eV/f.u.
Final energy   -5.948 eV/atom
Space group   P1
Magnetic moment   0.00 μB per cell

***

Here is crystalline ZrCr2Ir2 at its relaxed geometry from the Alexandria database. Energies are from GGA-PBE.

Geometry as POSCAR:
```
ZrCr2Ir2
1.0
7.424 0.000 0.000
0.000 7.424 0.000
0.000 0.000 2.727
Zr Cr Ir
2 4 4
direct
0.000 0.000 0.000
0.500 0.500 0.000
0.168 0.332 0.500
0.332 0.832 0.500
0.668 0.168 0.500
0.832 0.668 0.500
0.129 0.629 0.000
0.371 0.129 0.000
0.629 0.871 0.000
0.871 0.371 0.000
```

Values from the calculation:
N(E_F)   5.7 states/eV/f.u.
Final energy   -9.283 eV/atom
Space group   P4/mbm
Excess energy over the best structure of this formula in the dataset   0.064 eV/atom
Magnetic moment   0.00 μB per cell
E_form   -0.18 eV/atom

***

Here is crystalline ZnPd3Cl at its relaxed geometry from the Alexandria database. Energies are from GGA-PBE.

Geometry as POSCAR:
```
ZnPd3Cl
1.0
4.716 0.000 0.000
0.000 4.716 0.000
0.000 0.000 4.716
Zn Pd Cl
1 3 1
direct
0.000 0.000 0.000
0.000 0.000 0.500
0.000 0.500 0.000
0.500 0.000 0.000
0.500 0.500 0.500
```

Values from the calculation:
Energy relative to the elements, uncorrected   0.53 eV per atom
N(E_F)   6.0 states/eV/f.u.
Final energy   -3.207 eV/atom
Space group   Pm-3m
Excess energy over the best structure of this formula in the dataset   0.105 eV/atom
Magnetic moment   0.00 μB per cell

***

Here is crystalline Na3Dy2PbS6 at its relaxed geometry from the Alexandria database. Energies are from GGA-PBE.

Geometry as POSCAR:
```
Na3Dy2PbS6
1.0
3.481 -6.027 0.000
3.481 6.027 0.000
-2.332 0.000 6.711
Na Dy Pb S
3 2 1 6
direct
0.000 0.000 0.000
0.338 0.662 0.000
0.662 0.338 0.000
0.167 0.833 0.500
0.833 0.167 0.500
0.500 0.500 0.500
0.079 0.423 0.270
0.233 0.233 0.731
0.423 0.079 0.270
0.577 0.921 0.730
0.767 0.767 0.269
0.921 0.577 0.730
```

Values from the calculation:
Energy relative to the elements, uncorrected   -1.42 eV per atom
N(E_F)   4.2 states/eV/f.u.
Final energy   -4.891 eV/atom
Space group   C2/m
Magnetic moment   0.00 μB per cell

***

Here is crystalline YSiOs at its relaxed geometry from the Alexandria database. Energies are from GGA-PBE.

Geometry as POSCAR:
```
YSiOs
1.0
4.005 0.000 0.000
0.000 13.608 0.000
0.000 0.000 5.020
Y Si Os
4 4 4
direct
0.000 0.132 0.250
0.000 0.868 0.750
0.500 0.368 0.750
0.500 0.632 0.250
0.000 0.348 0.250
0.000 0.652 0.750
0.500 0.152 0.750
0.500 0.848 0.250
0.000 0.500 0.000
0.000 0.500 0.500
0.500 0.000 0.000
0.500 0.000 0.500
```

Values from the calculation:
Energy relative to the elements, uncorrected   -0.11 eV per atom
N(E_F)   2.5 states/eV/f.u.
Final energy   -7.818 eV/atom
Space group   Cmcm
Magnetic moment   0.00 μB per cell

***

Here is crystalline InINO2 at its relaxed geometry from the Alexandria database. Energies are from GGA-PBE.

Geometry as POSCAR:
```
InINO2
1.0
4.022 0.000 0.000
0.000 4.022 0.000
0.000 0.000 6.429
In I N O
1 1 1 2
direct
0.000 0.000 0.000
0.000 0.000 0.500
0.500 0.500 0.500
0.000 0.500 0.000
0.500 0.000 0.000
```

Values from the calculation:
Energy relative to the elements, uncorrected   0.76 eV per atom
N(E_F)   1.9 states/eV/f.u.
Final energy   -3.746 eV/atom
Space group   P4/mmm
Magnetic moment   2.36 μB per cell

***

Here is crystalline TlPSCl2 at its relaxed geometry from the Alexandria database. Energies are from GGA-PBE.

Geometry as POSCAR:
```
TlPSCl2
1.0
5.865 0.000 0.000
0.000 5.865 0.000
0.000 0.000 4.139
Tl P S Cl
1 1 1 2
direct
0.000 0.000 0.000
0.500 0.500 0.000
0.500 0.500 0.500
0.000 0.500 0.500
0.500 0.000 0.500
```

Values from the calculation:
Energy relative to the elements, uncorrected   0.11 eV per atom
N(E_F)   4.3 states/eV/f.u.
Final energy   -3.008 eV/atom
Space group   P4/mmm
Excess energy over the best structure of this formula in the dataset   0.423 eV/atom
Magnetic moment   0.00 μB per cell

***

Here is crystalline AuS2 at its relaxed geometry from the Alexandria database. Energies are from GGA-PBE.

Geometry as POSCAR:
```
AuS2
1.0
3.442 0.000 0.000
0.039 4.436 0.000
1.659 1.727 4.869
Au S
1 2
direct
0.000 0.000 0.000
0.209 0.777 0.646
0.372 0.137 0.284
```

Values from the calculation:
Energy relative to the elements, uncorrected   0.16 eV per atom
N(E_F)   1.1 states/eV/f.u.
Final energy   -3.685 eV/atom
Space group   P1
Magnetic moment   0.00 μB per cell

***

Here is crystalline TbScCo at its relaxed geometry from the Alexandria database. Energies are from GGA-PBE.

Geometry as POSCAR:
```
TbScCo
1.0
3.788 0.000 0.000
-1.894 3.281 0.000
0.000 0.000 5.763
Tb Sc Co
1 1 1
direct
0.000 0.000 0.000
0.667 0.333 0.474
0.333 0.667 0.265
```

Values from the calculation:
N(E_F)   2.9 states/eV/f.u.
Final energy   -6.048 eV/atom
Space group   P3m1
Excess energy over the best structure of this formula in the dataset   0.162 eV/atom
Magnetic moment   0.00 μB per cell
E_form   -0.03 eV/atom